Entry 1:
Nd2InPb | the Alexandria database | PBE | relaxed; crystal system = monoclinic; SG = P2_1/m (11); formation energy = -12.17 kcal/mol of atoms; size of the total moment = 0.000 μB per formula unit; raw total energy = -4.524 eV per atom
1.0
4.464 0.000 0.000
0.000 6.402 -0.120
0.000 -3.351 8.875
Nd In Pb
4 2 2
Cartesian
3.348 -0.002 3.805
1.116 3.053 4.950
1.116 4.702 0.512
3.348 -1.651 8.243
3.348 3.337 2.531
1.116 -0.286 6.224
1.116 1.387 1.792
3.348 1.663 6.964

Entry 2:
Nd2In4Pb | the Alexandria database | PBE | relaxed; crystal system = monoclinic; SG = C2/m (12); formation energy = -7.54 kcal/mol of atoms; size of the total moment = 0.000 μB per formula unit; raw total energy = -3.784 eV per atom
1.0
-0.081 -4.890 -4.316
6.514 -0.282 0.201
-3.461 -0.644 5.710
Pb Nd In
1 2 4
Cartesian
3.077 -4.432 0.029
3.116 -1.987 2.187
-0.180 -4.290 -0.071
4.808 -4.111 -2.825
1.591 -1.523 -0.769
1.550 -3.968 -2.926
4.847 -1.665 -0.668

Entry 3:
NdInPb | the Alexandria database | PBE | relaxed; crystal system = orthorhombic; SG = Cmcm (63); formation energy = -7.62 kcal/mol of atoms; E above lowest polymorph = 0.0818 eV per atom; size of the total moment = 0.000 μB per formula unit; raw total energy = -4.069 eV per atom
1.0
-2.932 3.308 -4.115
0.736 -4.891 -4.457
-2.378 -3.429 3.370
Nd In Pb
2 2 2
Cartesian
-3.435 -4.343 -3.260
-1.140 -0.668 -1.941
-0.689 -3.076 -4.198
-3.885 -1.936 -1.004
-0.821 -4.160 -0.543
-1.189 -1.714 1.685

Entry 4:
Nd2InPb | the Alexandria database | PBE | relaxed; crystal system = orthorhombic; SG = Amm2 (38); formation energy = -12.20 kcal/mol of atoms; size of the total moment = 0.000 μB per formula unit; raw total energy = -4.525 eV per atom
1.0
-0.479 -3.455 3.205
4.320 0.386 1.062
-1.141 5.766 2.544
Nd In Pb
2 1 1
Cartesian
1.067 0.962 4.696
-0.225 0.659 0.677
1.825 -1.254 2.421
-0.992 2.902 2.980

Entry 5:
NdInPb6 | the Alexandria database | PBE | relaxed; crystal system = orthorhombic; SG = Cmmm (65); formation energy = -3.27 kcal/mol of atoms; size of the total moment = 0.000 μB per formula unit; raw total energy = -3.862 eV per atom
1.0
5.000 0.000 0.000
0.000 6.947 -0.049
0.000 0.039 6.947
Nd In Pb
1 1 6
Cartesian
2.500 0.000 0.000
2.500 3.493 3.449
0.000 5.181 1.739
0.000 1.805 5.158
0.000 5.195 5.130
0.000 1.790 1.768
2.500 3.473 -0.025
2.500 0.020 3.473

Entry 6:
NdInPb | the Alexandria database | PBE | relaxed; crystal system = orthorhombic; SG = Cmcm (63); formation energy = -9.51 kcal/mol of atoms; E above lowest polymorph = 0.0000 eV per atom; size of the total moment = 0.000 μB per formula unit; raw total energy = -4.151 eV per atom
1.0
-1.387 3.300 -2.737
-2.424 -3.121 -2.534
-5.426 2.786 6.108
Nd In Pb
2 2 2
Cartesian
-1.594 1.055 0.225
-7.643 1.910 0.611
-4.807 -0.136 0.418
-4.430 3.101 0.419
-6.013 1.871 3.447
-3.225 1.094 -2.611

Entry 7:
Nd3InPb2 | the Alexandria database | PBE | relaxed; crystal system = orthorhombic; SG = Pnma (62); formation energy = -10.87 kcal/mol of atoms; size of the total moment = 0.000 μB per formula unit; raw total energy = -4.548 eV per atom
1.0
4.792 0.000 0.000
0.000 12.172 0.000
0.000 0.000 12.935
Nd In Pb
12 4 8
Cartesian
1.198 4.576 0.515
3.594 7.596 12.421
3.594 10.662 5.953
1.198 1.510 6.983
1.198 8.375 2.666
3.594 3.797 10.269
3.594 2.289 3.801
1.198 9.883 9.134
1.198 5.213 4.710
3.594 6.959 8.225
3.594 11.299 1.757
1.198 0.873 11.178
1.198 1.651 1.849
3.594 10.521 11.087
3.594 7.737 4.619
1.198 4.435 8.316
1.198 8.254 6.397
3.594 3.918 6.538
3.594 2.168 0.071
1.198 10.004 12.865
1.198 11.828 4.123
3.594 0.344 8.813
3.594 5.742 2.345
1.198 6.430 10.590

Entry 8:
Nd2InPb9 | the Alexandria database | PBE | relaxed; crystal system = tetragonal; SG = P4/mmm (123); formation energy = -5.41 kcal/mol of atoms; size of the total moment = 0.000 μB per formula unit; raw total energy = -4.039 eV per atom
1.0
4.855 0.000 0.000
0.000 4.855 0.000
0.000 0.000 15.413
Nd In Pb
2 1 9
Cartesian
0.000 0.000 5.318
0.000 0.000 10.095
0.000 0.000 0.000
2.428 2.428 0.000
2.428 2.428 5.072
2.428 2.428 10.341
2.428 0.000 2.575
2.428 0.000 7.707
2.428 0.000 12.839
0.000 2.428 2.575
0.000 2.428 7.707
0.000 2.428 12.839

Entry 9:
Nd4InPb | the Alexandria database | PBE | relaxed; crystal system = monoclinic; SG = P2/m (10); formation energy = -4.42 kcal/mol of atoms; E above lowest polymorph = 0.0000 eV per atom; size of the total moment = 0.016 μB per formula unit; raw total energy = -4.445 eV per atom
1.0
-1.642 3.110 -4.044
4.165 -4.084 -4.832
-4.161 -3.275 -0.829
Nd In Pb
4 1 1
Cartesian
-1.830 -4.810 -6.508
0.192 0.561 -3.198
-1.065 -2.630 -1.590
1.070 -4.729 -4.072
0.000 0.000 0.000
-0.819 -2.125 -4.853

Entry 10:
Nd5InPb2 | the Alexandria database | PBE | relaxed; crystal system = tetragonal; SG = I4/mcm (140); formation energy = -9.90 kcal/mol of atoms; size of the total moment = 0.963 μB per formula unit; raw total energy = -4.679 eV per atom
1.0
7.689 0.000 -3.630
-1.713 7.496 -3.630
-0.290 -0.364 9.345
Nd In Pb
10 2 4
Cartesian
2.557 4.884 2.168
4.482 7.299 -3.713
0.000 0.000 0.000
2.988 3.748 -3.630
1.204 -0.167 5.798
4.751 1.136 3.352
-0.990 3.581 4.614
0.935 5.996 -1.267
6.676 3.551 -2.529
3.129 2.248 -0.083
4.337 5.440 -0.772
1.349 1.692 2.858
0.444 2.711 -1.815
4.671 1.037 -2.819
1.305 6.459 -4.440
5.532 4.785 -5.445

Entry 11:
Nd4InPb | the Alexandria database | PBE | relaxed; crystal system = trigonal; SG = R-3m (166); formation energy = -4.32 kcal/mol of atoms; E above lowest polymorph = 0.0044 eV per atom; size of the total moment = 0.010 μB per formula unit; raw total energy = -4.440 eV per atom
1.0
5.333 0.716 0.411
2.026 4.985 0.411
1.852 1.435 8.864
Nd In Pb
4 1 1
Cartesian
4.838 3.747 1.528
4.375 3.388 8.157
2.076 1.608 5.670
7.136 5.528 4.015
0.000 0.000 0.000
4.606 3.568 4.842

Entry 12:
Nd3InPb3 | the Alexandria database | PBE | relaxed; crystal system = hexagonal; SG = P6_3/m (176); formation energy = -7.93 kcal/mol of atoms; size of the total moment = 0.000 μB per formula unit; raw total energy = -4.368 eV per atom
1.0
5.940 0.000 0.000
0.000 9.128 0.000
0.000 -4.564 7.905
Nd In Pb
6 2 6
Cartesian
4.455 3.350 4.360
4.455 3.678 0.721
4.455 6.665 2.825
1.485 1.215 3.546
1.485 0.886 7.184
1.485 -2.101 5.081
1.485 4.564 2.635
4.455 0.000 5.270
1.485 3.918 5.848
1.485 2.105 0.469
1.485 7.670 1.588
4.455 0.646 2.057
4.455 2.460 7.436
4.455 -3.106 6.317